# SrTlAg

SrTlAg at its PBEsol-relaxed geometry (SCAN, the Alexandria database).

- Formation energy: -0.2841 eV per atom
- Raw total energy: -42.28 eV per atom
- Calculated density: 8311 kg/m3

The structure in CIF format:
```
data_SrTlAg
_chemical_formula_sum 'Sr2 Tl2 Ag2'
_cell_length_a 3.8770
_cell_length_b 3.8770
_cell_length_c 10.6305
_cell_angle_alpha 90.00
_cell_angle_beta 90.00
_cell_angle_gamma 90.00
_space_group_name_H-M_alt 'I 4 m m'
_space_group_IT_number 107
_space_group_name_Hall 'I 4 -2'
loop_
_atom_site_label
_atom_site_type_symbol
_atom_site_fract_x
_atom_site_fract_y
_atom_site_fract_z
Sr1 Sr 0.0000 0.0000 0.0000
Tl1 Tl 0.0000 0.0000 0.6921
Ag1 Ag 0.0000 0.0000 0.3178
```


# MnHg2Ir

MnHg2Ir at its PBEsol-relaxed geometry (SCAN, the Alexandria database).

- Formation energy: 0.1914 eV per atom
- ΔE to the lowest computed polymorph: 0.123 eV per atom
- Raw total energy: -56.23 eV per atom
- Calculated density: 15959 kg/m3

The structure in CIF format:
```
data_MnHg2Ir
_chemical_formula_sum 'Mn2 Hg4 Ir2'
_cell_length_a 9.3001
_cell_length_b 3.0722
_cell_length_c 4.8422
_cell_angle_alpha 90.00
_cell_angle_beta 102.79
_cell_angle_gamma 90.00
_space_group_name_H-M_alt 'C 1 2/m 1'
_space_group_IT_number 12
loop_
_space_group_symop_operation_xyz
'x,y,z'
'-x,-y,-z'
'-x,y,-z'
'x,-y,z'
'x+1/2,y+1/2,z'
'-x+1/2,-y+1/2,-z'
'-x+1/2,y+1/2,-z'
'x+1/2,-y+1/2,z'
loop_
_atom_site_label
_atom_site_type_symbol
_atom_site_fract_x
_atom_site_fract_y
_atom_site_fract_z
Mn1 Mn 0.0000 0.0000 0.0000
Hg1 Hg 0.2492 0.5000 0.2488
Ir1 Ir 0.0000 0.5000 0.5000
```


# GaBi2P

GaBi2P at its PBEsol-relaxed geometry (SCAN, the Alexandria database).

- Formation energy: 0.4637 eV per atom
- Raw total energy: -45.51 eV per atom
- Calculated density: 9348 kg/m3

The structure in CIF format:
```
data_GaBi2P
_chemical_formula_sum 'Ga4 Bi8 P4'
_cell_length_a 7.1696
_cell_length_b 7.1696
_cell_length_c 7.1696
_cell_angle_alpha 90.00
_cell_angle_beta 90.00
_cell_angle_gamma 90.00
_space_group_name_H-M_alt 'F m -3 m'
_space_group_IT_number 225
_space_group_name_Hall '-F 4 2 3'
loop_
_atom_site_label
_atom_site_type_symbol
_atom_site_fract_x
_atom_site_fract_y
_atom_site_fract_z
Ga1 Ga 0.0000 0.0000 0.0000
Bi1 Bi 0.2500 0.2500 0.2500
P1 P 0.0000 0.0000 0.5000
```


formation energy of number 2 (MnHg2Ir)?
0.1914 eV per atom


Look up the calculated density of the third one.
9348 kg/m3